[1]
Computed, not measured: crystalline SmZrC2 at its relaxed geometry at the PBE level of DFT.

Cell lengths 3.4837, 3.4837, 17.4887 Å; angles 90.00, 90.00, 120.00 degrees
Space group R-3m (No. 166, hexagonal axes)
Inequivalent atoms, fractional coordinates:
Sm 0.0000 0.0000 0.0000 (multiplicity 3)
Zr 0.0000 0.0000 0.5000 (multiplicity 3)
C 0.0000 0.0000 0.2404 (multiplicity 6)

Properties
**Energy of formation from the pure elements**: -269 meV/atom

***

[2]
Computed, not measured: crystalline LiGeRhAu at its relaxed geometry at the PBE level of DFT.

Cell lengths 6.1353, 6.1353, 6.1353 Å; angles 90.00, 90.00, 90.00 degrees
Space group F-43m (No. 216)
Inequivalent atoms, fractional coordinates:
Li 0.0000 0.0000 0.0000 (multiplicity 4)
Ge 0.0000 0.0000 0.5000 (multiplicity 4)
Rh 0.2500 0.2500 0.2500 (multiplicity 4)
Au 0.2500 0.2500 0.7500 (multiplicity 4)

Properties
**Energy of formation from the pure elements**: -345 meV/atom

***

[3]
Computed, not measured: crystalline Y2ZnAu4 at its relaxed geometry at the PBE level of DFT.

Cell lengths 8.6829, 5.1251, 7.8822 Å; angles 90.00, 122.18, 90.00 degrees
Space group C2/m (No. 12)
Inequivalent atoms, fractional coordinates:
Y 0.0631 0.0000 0.2835 (multiplicity 4)
Zn 0.0000 0.5000 0.5000 (multiplicity 2)
Au 0.1813 0.5000 0.8855 (multiplicity 4)
Au 0.2183 0.5000 0.2702 (multiplicity 4)

Properties
**Energy of formation from the pure elements**: -672 meV/atom